Record 1
Below is an optimized crystal structure of Cs5Rb3I8, with properties calculated at the PBE-GGA level.

Output
The crystal system is trigonal.

Cell lengths 10.8695, 10.8695, 10.8695 Å; angles 60.22, 60.22, 60.22 degrees
Closest atoms and distances in Å follow each position.
Fractional coordinates of all 16 atoms:
Cs (0.0000, 0.0000, 0.0000)  6 I 3.85
Cs (0.0000, 0.5000, 0.5000)  6 I 3.91-3.92
Cs (0.5000, 0.0000, 0.5000)  6 I 3.91-3.92
Cs (0.5000, 0.5000, 0.0000)  6 I 3.91-3.92
Cs (0.5000, 0.5000, 0.5000)  6 I 3.85
Rb (0.0000, 0.0000, 0.5000)  6 I 3.78-3.79
Rb (0.0000, 0.5000, 0.0000)  6 I 3.78-3.79
Rb (0.5000, 0.0000, 0.0000)  6 I 3.78-3.79
I (0.2408, 0.7500, 0.7500)  2 Rb 3.78, 4 Cs 3.85-3.92
I (0.2458, 0.2458, 0.2458)  3 Rb 3.79, 3 Cs 3.91
I (0.2500, 0.2500, 0.7592)  2 Rb 3.78, 4 Cs 3.85-3.92
I (0.2500, 0.7592, 0.2500)  2 Rb 3.78, 4 Cs 3.85-3.92
I (0.7500, 0.2408, 0.7500)  2 Rb 3.78, 4 Cs 3.85-3.92
I (0.7500, 0.7500, 0.2408)  2 Rb 3.78, 4 Cs 3.85-3.92
I (0.7542, 0.7542, 0.7542)  3 Rb 3.79, 3 Cs 3.91
I (0.7592, 0.2500, 0.2500)  2 Rb 3.78, 4 Cs 3.85-3.92

Record 2
Below is an optimized crystal structure of Cs2RbI, with properties calculated at the PBE-GGA level.

Output
The energy above the lowest structure with this stoichiometry comes out at 0.014 eV per atom. The crystal system is tetragonal.

Cell lengths 4.8272, 4.8272, 12.8233 Å; angles 90.00, 90.00, 90.00 degrees
Closest atoms and distances in Å follow each position.
Fractional coordinates of all 4 atoms:
Cs (0.0000, 0.0000, 0.1757)  4 I 4.09, 1 Cs 4.51
Cs (0.0000, 0.0000, 0.8243)  4 I 4.09, 1 Cs 4.51
Rb (0.5000, 0.5000, 0.5000)  4 Rb 4.83, 8 Cs 5.38
I (0.5000, 0.5000, 0.0000)  8 Cs 4.09

Record 3
Below is an optimized crystal structure of Cs3RbI4, with properties calculated at the PBE-GGA level.

Output
The energy above the lowest structure with this stoichiometry comes out at 0.000 eV per atom. The crystal system is monoclinic.

Cell lengths 9.4904, 10.9427, 9.4991 Å; angles 90.00, 109.44, 90.00 degrees
Closest atoms and distances in Å follow each position.
Fractional coordinates of all 16 atoms:
Cs (0.0000, 0.1239, 0.2500)  6 I 3.86-3.96
Cs (0.0000, 0.3741, 0.7500)  6 I 3.86-3.96
Cs (0.0000, 0.6259, 0.2500)  6 I 3.86-3.96
Cs (0.0000, 0.8761, 0.7500)  6 I 3.86-3.96
Cs (0.5000, 0.3740, 0.2500)  6 I 3.87-3.89
Cs (0.5000, 0.6260, 0.7500)  6 I 3.87-3.89
Rb (0.5000, 0.1232, 0.7500)  6 I 3.79-3.81
Rb (0.5000, 0.8768, 0.2500)  6 I 3.79-3.81
I (0.2536, 0.3695, 0.5058)  1 Rb 3.81, 5 Cs 3.86-3.96
I (0.2536, 0.6305, 0.0058)  1 Rb 3.81, 5 Cs 3.86-3.96
I (0.2599, 0.1199, 0.9990)  2 Rb 3.79, 4 Cs 3.86-3.96
I (0.2599, 0.8801, 0.4990)  2 Rb 3.79, 4 Cs 3.86-3.96
I (0.7401, 0.1199, 0.5010)  2 Rb 3.79, 4 Cs 3.86-3.96
I (0.7401, 0.8801, 0.0010)  2 Rb 3.79, 4 Cs 3.86-3.96
I (0.7464, 0.3695, 0.9942)  1 Rb 3.81, 5 Cs 3.86-3.96
I (0.7464, 0.6305, 0.4942)  1 Rb 3.81, 5 Cs 3.86-3.96

Record 4
Below is an optimized crystal structure of CsRb3I6, with properties calculated at the PBE-GGA level.

Output
The crystal system is cubic.

Cell lengths 9.9732, 9.9732, 9.9732 Å; angles 60.00, 60.00, 60.00 degrees
Closest atoms and distances in Å follow each position.
Fractional coordinates of all 10 atoms:
Cs (0.0000, 0.0000, 0.0000)  6 I 3.60
Rb (0.2500, 0.2500, 0.2500)  12 I 4.99
Rb (0.5000, 0.5000, 0.5000)  6 I 3.45
Rb (0.7500, 0.7500, 0.7500)  12 I 4.99
I (0.2551, 0.2551, 0.7449)  1 Rb 3.45, 1 Cs 3.60
I (0.2551, 0.7449, 0.2551)  1 Rb 3.45, 1 Cs 3.60
I (0.2551, 0.7449, 0.7449)  1 Rb 3.45, 1 Cs 3.60
I (0.7449, 0.2551, 0.2551)  1 Rb 3.45, 1 Cs 3.60
I (0.7449, 0.2551, 0.7449)  1 Rb 3.45, 1 Cs 3.60
I (0.7449, 0.7449, 0.2551)  1 Rb 3.45, 1 Cs 3.60

Record 5
Below is an optimized crystal structure of Cs5RbI, with properties calculated at the PBE-GGA level.

Output
The crystal system is monoclinic.

Cell lengths 10.1133, 10.1133, 13.7772 Å; angles 96.95, 96.95, 94.33 degrees
Closest atoms and distances in Å follow each position.
Fractional coordinates of all 14 atoms:
Cs (0.1111, 0.6474, 0.3797)  1 I 4.04
Cs (0.1145, 0.8855, 0.7500)  2 I 3.84
Cs (0.1885, 0.3458, 0.9920)  1 I 3.87
Cs (0.3458, 0.1885, 0.4920)  1 I 3.87
Cs (0.3526, 0.8889, 0.1203)  1 I 4.04
Cs (0.6474, 0.1111, 0.8797)  1 I 4.04
Cs (0.6542, 0.8115, 0.5080)  1 I 3.87
Cs (0.8115, 0.6542, 0.0080)  1 I 3.87
Cs (0.8855, 0.1145, 0.2500)  2 I 3.84
Cs (0.8889, 0.3526, 0.6203)  1 I 4.04
Rb (0.4400, 0.5600, 0.7500)  5 Cs 4.80-5.03
Rb (0.5600, 0.4400, 0.2500)  5 Cs 4.80-5.03
I (0.0000, 0.0000, 0.0000)  6 Cs 3.84-4.04
I (0.0000, 0.0000, 0.5000)  6 Cs 3.84-4.04

Record 6
Below is an optimized crystal structure of Cs4RbI, with properties calculated at the PBE-GGA level.

Output
The crystal system is monoclinic.

Cell lengths 12.3641, 12.3641, 9.3056 Å; angles 103.01, 103.01, 113.81 degrees
Closest atoms and distances in Å follow each position.
Fractional coordinates of all 12 atoms:
Cs (0.0698, 0.6603, 0.8583)  1 I 3.94
Cs (0.1521, 0.2721, 0.6801)  2 I 3.85-3.97
Cs (0.2721, 0.1521, 0.1801)  2 I 3.85-3.97
Cs (0.3397, 0.9302, 0.6417)  1 I 3.94
Cs (0.6603, 0.0698, 0.3583)  1 I 3.94
Cs (0.7279, 0.8479, 0.8199)  2 I 3.85-3.97
Cs (0.8479, 0.7279, 0.3199)  2 I 3.85-3.97
Cs (0.9302, 0.3397, 0.1417)  1 I 3.94
Rb (0.3987, 0.6013, 0.2500)  8 Cs 4.96-5.22
Rb (0.6013, 0.3987, 0.7500)  8 Cs 4.96-5.22
I (0.0543, 0.9457, 0.7500)  6 Cs 3.85-3.97
I (0.9457, 0.0543, 0.2500)  6 Cs 3.85-3.97

Record 7
Below is an optimized crystal structure of Cs3Rb2I4, with properties calculated at the PBE-GGA level.

Output
The crystal system is monoclinic.

Cell lengths 5.3879, 5.3879, 22.6289 Å; angles 90.02, 90.02, 60.00 degrees
Closest atoms and distances in Å follow each position.
Fractional coordinates of all 9 atoms:
Cs (0.0000, 0.0000, 0.0000)  6 I 3.89
Cs (0.3337, 0.3337, 0.3955)  3 I 3.91
Cs (0.6663, 0.6663, 0.6045)  3 I 3.91
Rb (0.3329, 0.3329, 0.8032)  6 I 3.76-3.77
Rb (0.6671, 0.6671, 0.1968)  6 I 3.76-3.77
I (0.0005, 0.0005, 0.2908)  3 Rb 3.77, 3 Cs 3.91
I (0.3336, 0.3336, 0.1034)  3 Rb 3.76, 3 Cs 3.89
I (0.6664, 0.6664, 0.8966)  3 Rb 3.76, 3 Cs 3.89
I (0.9995, 0.9995, 0.7092)  3 Rb 3.77, 3 Cs 3.91

Record 8
Below is an optimized crystal structure of Cs4Rb3I8, with properties calculated at the PBE-GGA level.

Output
The crystal system is monoclinic.

Cell lengths 10.8769, 10.8769, 10.7851 Å; angles 119.69, 119.69, 90.12 degrees
Closest atoms and distances in Å follow each position.
Fractional coordinates of all 15 atoms:
Cs (0.0000, 0.0000, 0.0000)  6 I 3.91-3.93
Cs (0.0000, 0.5000, 0.0000)  6 I 3.84-3.85
Cs (0.5000, 0.0000, 0.0000)  6 I 3.84-3.85
Cs (0.5000, 0.5000, 0.5000)  6 I 3.78-3.79
Rb (0.0000, 0.5000, 0.5000)  6 I 3.84-3.85
Rb (0.5000, 0.0000, 0.5000)  6 I 3.84-3.85
Rb (0.5000, 0.5000, 0.0000)  6 I 3.75-3.79
I (0.2542, 0.7458, 0.0000)  3 Rb 3.79-3.85, 3 Cs 3.84-3.91
I (0.2546, 0.7454, 0.5000)  3 Cs 3.78-3.85, 2 Rb 3.84
I (0.2592, 0.2592, 0.5103)  3 Rb 3.77-3.85, 2 Cs 3.78-3.93
I (0.2596, 0.2596, 0.0076)  1 Rb 3.75, 4 Cs 3.79-3.93
I (0.7404, 0.7404, 0.9924)  1 Rb 3.75, 4 Cs 3.79-3.93
I (0.7408, 0.7408, 0.4897)  3 Rb 3.77-3.85, 2 Cs 3.78-3.93
I (0.7454, 0.2546, 0.5000)  3 Cs 3.78-3.85, 2 Rb 3.84
I (0.7458, 0.2542, 0.0000)  3 Rb 3.79-3.85, 3 Cs 3.84-3.91

Record 9
Below is an optimized crystal structure of Cs2RbI, with properties calculated at the PBE-GGA level.

Output
The energy above the lowest structure with this stoichiometry comes out at 0.000 eV per atom. The crystal system is trigonal.

Cell lengths 13.8241, 13.8241, 13.8241 Å; angles 22.28, 22.28, 22.28 degrees
Closest atoms and distances in Å follow each position.
Fractional coordinates of all 4 atoms:
Cs (0.2259, 0.2259, 0.2259)  3 I 3.90
Cs (0.7741, 0.7741, 0.7741)  3 I 3.90
Rb (0.0000, 0.0000, 0.0000)  6 Cs 5.33, 6 Rb 5.34
I (0.5000, 0.5000, 0.5000)  6 Cs 3.90

Record 10
Below is an optimized crystal structure of Cs5Rb12I3, with properties calculated at the PBE-GGA level.

Output
The crystal system is cubic.

Cell lengths 22.5020, 22.5020, 22.5020 Å; angles 109.47, 109.47, 109.47 degrees
Closest atoms and distances in Å follow each position.
Fractional coordinates of all 80 atoms:
Cs (0.0000, 0.0000, 0.0000)  6 Rb 4.70
Cs (0.0000, 0.0000, 0.5000)  6 Rb 4.70
Cs (0.0000, 0.5000, 0.0000)  6 Rb 4.70
Cs (0.0000, 0.5000, 0.5000)  6 Rb 4.70
Cs (0.1250, 0.7500, 0.8750)  4 Rb 5.03
Cs (0.1250, 0.8750, 0.2500)  4 Rb 5.03
Cs (0.2500, 0.1250, 0.8750)  4 Rb 5.03
Cs (0.2500, 0.6250, 0.3750)  4 Rb 5.03
Cs (0.3750, 0.2500, 0.6250)  4 Rb 5.03
Cs (0.3750, 0.6250, 0.7500)  4 Rb 5.03
Cs (0.5000, 0.0000, 0.0000)  6 Rb 4.70
Cs (0.5000, 0.0000, 0.5000)  6 Rb 4.70
Cs (0.5000, 0.5000, 0.0000)  6 Rb 4.70
Cs (0.5000, 0.5000, 0.5000)  6 Rb 4.70
Cs (0.6250, 0.3750, 0.2500)  4 Rb 5.03
Cs (0.6250, 0.7500, 0.3750)  4 Rb 5.03
Cs (0.7500, 0.3750, 0.6250)  4 Rb 5.03
Cs (0.7500, 0.8750, 0.1250)  4 Rb 5.03
Cs (0.8750, 0.1250, 0.7500)  4 Rb 5.03
Cs (0.8750, 0.2500, 0.1250)  4 Rb 5.03
Rb (0.0269, 0.6271, 0.3735)  1 I 3.59
Rb (0.0269, 0.8998, 0.6533)  1 I 3.59
Rb (0.1002, 0.2535, 0.1271)  1 I 3.59
Rb (0.1002, 0.3467, 0.9731)  1 I 3.59
Rb (0.1265, 0.7535, 0.6533)  1 I 3.59
Rb (0.1265, 0.8729, 0.4731)  1 I 3.59
Rb (0.1271, 0.1002, 0.2535)  1 I 3.59
Rb (0.1271, 0.5269, 0.8735)  1 I 3.59
Rb (0.1533, 0.2535, 0.6265)  1 I 3.59
Rb (0.1533, 0.3998, 0.5269)  1 I 3.59
Rb (0.2465, 0.3467, 0.8735)  1 I 3.59
Rb (0.2465, 0.3998, 0.3729)  1 I 3.59
Rb (0.2535, 0.1271, 0.1002)  1 I 3.59
Rb (0.2535, 0.6265, 0.1533)  1 I 3.59
Rb (0.3467, 0.8735, 0.2465)  1 I 3.59
Rb (0.3467, 0.9731, 0.1002)  1 I 3.59
Rb (0.3729, 0.2465, 0.3998)  1 I 3.59
Rb (0.3729, 0.6265, 0.9731)  1 I 3.59
Rb (0.3735, 0.0269, 0.6271)  1 I 3.59
Rb (0.3735, 0.8467, 0.7465)  1 I 3.59
Rb (0.3998, 0.3729, 0.2465)  1 I 3.59
Rb (0.3998, 0.5269, 0.1533)  1 I 3.59
Rb (0.4731, 0.1265, 0.8729)  1 I 3.59
Rb (0.4731, 0.8467, 0.6002)  1 I 3.59
Rb (0.5269, 0.1533, 0.3998)  1 I 3.59
Rb (0.5269, 0.8735, 0.1271)  1 I 3.59
Rb (0.6002, 0.4731, 0.8467)  1 I 3.59
Rb (0.6002, 0.6271, 0.7535)  1 I 3.59
Rb (0.6265, 0.1533, 0.2535)  1 I 3.59
Rb (0.6265, 0.9731, 0.3729)  1 I 3.59
Rb (0.6271, 0.3735, 0.0269)  1 I 3.59
Rb (0.6271, 0.7535, 0.6002)  1 I 3.59
Rb (0.6533, 0.0269, 0.8998)  1 I 3.59
Rb (0.6533, 0.1265, 0.7535)  1 I 3.59
Rb (0.7465, 0.3735, 0.8467)  1 I 3.59
Rb (0.7465, 0.8729, 0.8998)  1 I 3.59
Rb (0.7535, 0.6002, 0.6271)  1 I 3.59
Rb (0.7535, 0.6533, 0.1265)  1 I 3.59
Rb (0.8467, 0.6002, 0.4731)  1 I 3.59
Rb (0.8467, 0.7465, 0.3735)  1 I 3.59
Rb (0.8729, 0.4731, 0.1265)  1 I 3.59
Rb (0.8729, 0.8998, 0.7465)  1 I 3.59
Rb (0.8735, 0.1271, 0.5269)  1 I 3.59
Rb (0.8735, 0.2465, 0.3467)  1 I 3.59
Rb (0.8998, 0.6533, 0.0269)  1 I 3.59
Rb (0.8998, 0.7465, 0.8729)  1 I 3.59
Rb (0.9731, 0.1002, 0.3467)  1 I 3.59
Rb (0.9731, 0.3729, 0.6265)  1 I 3.59
I (0.1250, 0.2500, 0.3750)  4 Rb 3.59
I (0.1250, 0.3750, 0.7500)  4 Rb 3.59
I (0.2500, 0.3750, 0.1250)  4 Rb 3.59
I (0.2500, 0.8750, 0.6250)  4 Rb 3.59
I (0.3750, 0.1250, 0.2500)  4 Rb 3.59
I (0.3750, 0.7500, 0.1250)  4 Rb 3.59
I (0.6250, 0.2500, 0.8750)  4 Rb 3.59
I (0.6250, 0.8750, 0.7500)  4 Rb 3.59
I (0.7500, 0.1250, 0.3750)  4 Rb 3.59
I (0.7500, 0.6250, 0.8750)  4 Rb 3.59
I (0.8750, 0.6250, 0.2500)  4 Rb 3.59
I (0.8750, 0.7500, 0.6250)  4 Rb 3.59

Record 11
Below is an optimized crystal structure of Cs8Rb6I, with properties calculated at the PBE-GGA level.

Output
The crystal system is trigonal.

Cell lengths 14.0334, 14.0334, 8.6441 Å; angles 90.00, 90.00, 120.00 degrees
Closest atoms and distances in Å follow each position.
Fractional coordinates of all 15 atoms:
Cs (0.0457, 0.2478, 0.2497)  1 I 3.86
Cs (0.2022, 0.9543, 0.2497)  1 I 3.86
Cs (0.2478, 0.2022, 0.7503)  1 I 3.86
Cs (0.3333, 0.6667, 0.2511)  3 Cs 5.21, 9 Rb 5.25-5.33
Cs (0.6667, 0.3333, 0.7489)  3 Cs 5.21, 9 Rb 5.25-5.33
Cs (0.7522, 0.7978, 0.2497)  1 I 3.86
Cs (0.7978, 0.0457, 0.7503)  1 I 3.86
Cs (0.9543, 0.7522, 0.7503)  1 I 3.86
Rb (0.0995, 0.4864, 0.7506)  8 Cs 5.07-5.48, 4 Rb 5.16-5.27
Rb (0.3869, 0.9005, 0.7506)  8 Cs 5.07-5.48, 4 Rb 5.16-5.27
Rb (0.4864, 0.3869, 0.2494)  8 Cs 5.07-5.48, 4 Rb 5.16-5.27
Rb (0.5136, 0.6131, 0.7506)  8 Cs 5.07-5.48, 4 Rb 5.16-5.27
Rb (0.6131, 0.0995, 0.2494)  8 Cs 5.07-5.48, 4 Rb 5.16-5.27
Rb (0.9005, 0.5136, 0.2494)  8 Cs 5.07-5.48, 4 Rb 5.16-5.27
I (0.0000, 0.0000, 0.0000)  6 Cs 3.86

Record 12
Below is an optimized crystal structure of Cs2RbI, with properties calculated at the PBE-GGA level.

Output
The energy above the lowest structure with this stoichiometry comes out at 0.153 eV per atom. The crystal system is tetragonal.

Cell lengths 7.1868, 7.1868, 5.6349 Å; angles 90.00, 90.00, 90.00 degrees
Closest atoms and distances in Å follow each position.
Fractional coordinates of all 4 atoms:
Cs (0.0000, 0.5000, 0.0000)  4 Rb 4.57, 4 I 4.57, 4 Cs 5.08
Cs (0.5000, 0.0000, 0.0000)  4 Rb 4.57, 4 I 4.57, 4 Cs 5.08
Rb (0.0000, 0.0000, 0.5000)  8 Cs 4.57, 4 I 5.08
I (0.5000, 0.5000, 0.5000)  8 Cs 4.57, 4 Rb 5.08

In states/eV/f.u., the D(E_F) values for the records above are, in order, 0.00 2.50 0.00 27.05 5.03 4.56 1.53 35.89 2.01 14.07 13.19 1.30.
In kJ/mol of formula units, the E_form (uncorrected) values for the records above are, in order, -2360 -278 -1185 -811 -269 -260 -1163 -1944 -284 -480 -272 -225.